No. 1
Compound: ZrCdRuPt
Source: Alexandria
Functional: PBE
Structure: optimized geometry

The calculation puts the volume at 279.96 Å³/cell. The energy of formation from the pure elements is -471 meV/atom. The value obtained for the theoretical density is 11.9 g/cm³.

The structure belongs to space group F-43m (No. 216); the cell edges are 6.5418, 6.5418 and 6.5418 Å and the angles 90.00°, 90.00° and 90.00°. The inequivalent atoms are Zr at (0.0000, 0.0000, 0.0000), Cd at (0.0000, 0.0000, 0.5000), Ru at (0.2500, 0.2500, 0.2500) and Pt at (0.2500, 0.2500, 0.7500).



No. 2
Compound: CuSi2Ni4
Source: Alexandria
Functional: PBE
Structure: optimized geometry

The polymorph energy (0 for the lowest one) is 507.2 meV per atom. The calculation puts the volume at 205.34 Å³/cell. The value obtained for the theoretical density is 5.7 g/cm³. As for the uncorrected formation energy: 0.490 eV per atom.

The structure belongs to space group I4/mmm (No. 139); the cell edges are 4.2482, 4.2482 and 11.3777 Å and the angles 90.00°, 90.00° and 90.00°. The inequivalent atoms are Cu at (0.0000, 0.0000, 0.0000), Si at (0.0000, 0.0000, 0.3938), Ni at (0.0000, 0.0000, 0.2049) and Ni at (0.0000, 0.5000, 0.0000).



No. 3
Compound: DyTmCoPd
Source: Alexandria
Functional: PBE
Structure: optimized geometry

The polymorph energy (0 for the lowest one) is 0.0 meV per atom. The calculation puts the volume at 78.23 Å³/cell. The energy of formation from the pure elements is -562 meV/atom. The value obtained for the theoretical density is 10.5 g/cm³.

The structure belongs to space group P4mm (No. 99); the cell edges are 3.3777, 3.3777 and 6.8570 Å and the angles 90.00°, 90.00° and 90.00°. The inequivalent atoms are Dy at (0.0000, 0.0000, 0.0000), Tm at (0.0000, 0.0000, 0.5264), Co at (0.5000, 0.5000, 0.7596) and Pd at (0.5000, 0.5000, 0.2702).



No. 4
Compound: PmAgSb2
Source: Alexandria
Functional: PBE
Structure: optimized geometry

The polymorph energy (0 for the lowest one) is 156.1 meV per atom. The calculation puts the volume at 101.21 Å³/cell. The value obtained for the theoretical density is 8.1 g/cm³. As for the uncorrected formation energy: -0.516 eV per atom.

The structure belongs to space group P4/mmm (No. 123); the cell edges are 4.8248, 4.8248 and 4.3478 Å and the angles 90.00°, 90.00° and 90.00°. The inequivalent atoms are Pm at (0.0000, 0.0000, 0.0000), Ag at (0.5000, 0.5000, 0.0000) and Sb at (0.0000, 0.5000, 0.5000).



No. 5
Compound: ZrTaFe2
Source: Alexandria
Functional: PBE
Structure: optimized geometry

The calculation puts the volume at 124.63 Å³/cell. The energy of formation from the pure elements is 11 meV/atom. The value obtained for the theoretical density is 10.2 g/cm³.

The structure belongs to space group Imm2 (No. 44); the cell edges are 3.1145, 4.2950 and 9.3170 Å and the angles 90.00°, 90.00° and 90.00°. The inequivalent atoms are Zr at (0.0000, 0.0000, 0.0000), Ta at (0.0000, 0.5000, 0.2297), Fe at (0.0000, 0.0000, 0.4836) and Fe at (0.0000, 0.5000, 0.7608).



No. 6
Compound: Nd2AlSi2Rh5
Source: Alexandria
Functional: PBE
Structure: optimized geometry

The calculation puts the volume at 341.34 Å³/cell. The value obtained for the theoretical density is 8.6 g/cm³. As for the uncorrected formation energy: -0.880 eV per atom.

The structure belongs to space group P4/mbm (No. 127); the cell edges are 9.9179, 9.9179 and 3.4701 Å and the angles 90.00°, 90.00° and 90.00°. The inequivalent atoms are Nd at (0.1760, 0.3240, 0.0000), Al at (0.0000, 0.0000, 0.0000), Si at (0.1226, 0.6226, 0.0000), Rh at (0.0000, 0.5000, 0.5000) and Rh at (0.0668, 0.7866, 0.5000).



No. 7
Compound: HoZr4N6
Source: Alexandria
Functional: PBE
Structure: optimized geometry

The calculation puts the volume at 570.31 Å³/cell. The value obtained for the theoretical density is 7.1 g/cm³. As for the uncorrected formation energy: -1.624 eV per atom.

The structure belongs to space group Cmcm (No. 63); the cell edges are 3.2126, 10.7864 and 16.4578 Å and the angles 90.00°, 90.00° and 90.00°. The inequivalent atoms are Ho at (0.0000, 0.1480, 0.2500), Zr at (0.0000, 0.1073, 0.6385), Zr at (0.0000, 0.3693, 0.5488), N at (0.0000, 0.0000, 0.0000), N at (0.0000, 0.1961, 0.7500), N at (0.0000, 0.2710, 0.0824) and N at (0.0000, 0.4646, 0.6608).



No. 8
Compound: Cs3MnBe
Source: Alexandria
Functional: PBE
Structure: optimized geometry

The calculation puts the volume at 377.73 Å³/cell. The energy of formation from the pure elements is 1229 meV/atom. The value obtained for the theoretical density is 2.0 g/cm³.

The structure belongs to space group Pm-3m (No. 221); the cell edges are 7.2287, 7.2287 and 7.2287 Å and the angles 90.00°, 90.00° and 90.00°. The inequivalent atoms are Cs at (0.0000, 0.0000, 0.5000), Mn at (0.0000, 0.0000, 0.0000) and Be at (0.5000, 0.5000, 0.5000).



No. 9
Compound: KYGeCl6
Source: Alexandria
Functional: PBE
Structure: optimized geometry

The calculation puts the volume at 582.74 Å³/cell. The value obtained for the theoretical density is 2.4 g/cm³. As for the uncorrected formation energy: -1.746 eV per atom.

The structure belongs to space group P-31c (No. 163); the cell edges are 6.9867, 6.9867 and 13.7846 Å and the angles 90.00°, 90.00° and 120.00°. The inequivalent atoms are K at (0.0000, 0.0000, 0.0000), Y at (0.3333, 0.6667, 0.2500), Ge at (0.3333, 0.6667, 0.7500) and Cl at (0.0036, 0.3713, 0.1407).



No. 10
Compound: LaPr2YHo
Source: Alexandria
Functional: PBE
Structure: optimized geometry

The calculation puts the volume at 355.23 Å³/cell. The energy of formation from the pure elements is 262 meV/atom. The value obtained for the theoretical density is 6.3 g/cm³.

The structure belongs to space group P2/c (No. 13); the cell edges are 8.1738, 6.9457 and 6.2601 Å and the angles 90.00°, 91.79° and 90.00°. The inequivalent atoms are La at (0.0000, 0.0000, 0.0000), Pr at (0.3029, 0.3134, 0.2390), Y at (0.5000, 0.1558, 0.7500) and Ho at (0.0000, 0.4147, 0.7500).



No. 11
Compound: FeCu2Pb
Source: Alexandria
Functional: PBE
Structure: optimized geometry

The calculation puts the volume at 248.64 Å³/cell. The energy of formation from the pure elements is 438 meV/atom. The value obtained for the theoretical density is 10.4 g/cm³.

The structure belongs to space group F-43m (No. 216); the cell edges are 6.2882, 6.2882 and 6.2882 Å and the angles 90.00°, 90.00° and 90.00°. The inequivalent atoms are Fe at (0.0000, 0.0000, 0.0000), Cu at (0.0000, 0.0000, 0.5000), Cu at (0.2500, 0.2500, 0.7500) and Pb at (0.2500, 0.2500, 0.2500).



No. 12
Compound: YH8Rh4
Source: Alexandria
Functional: PBE
Structure: optimized geometry

The calculation puts the volume at 135.90 Å³/cell. As for the total energy: -4.967 eV/atom. The value obtained for the theoretical density is 6.2 g/cm³.

The structure belongs to space group P-1 (No. 2); the cell edges are 5.5886, 5.7312 and 5.8197 Å and the angles 61.72°, 61.55° and 60.89°. The inequivalent atoms are Y at (0.0000, 0.0000, 0.0000), H at (0.2068, 0.7209, 0.3672), H at (0.2216, 0.3349, 0.2230), H at (0.2890, 0.6494, 0.7712), H at (0.2949, 0.2790, 0.6333), Rh at (0.0000, 0.5000, 0.0000), Rh at (0.0000, 0.5000, 0.5000), Rh at (0.5000, 0.5000, 0.0000) and Rh at (0.5000, 0.5000, 0.5000).



Question: Look up the theoretical density of the tenth one.
Answer: 6.3 g/cm³



Question: Which of these has the lowest theoretical density?
Answer: Cs3MnBe



Question: Which value of theoretical density does entry 12 give?
Answer: 6.2 g/cm³